(1)
A plane-wave DFT calculation with PBE was carried out for an optimized crystal structure of Fe2NiMo.

Lattice parameters (Å, degrees): 4.4407 4.4407 4.4407 131.23 131.23 71.45
Fractional coordinates of all 4 atoms:
Fe: 0.0000 0.0000 0.0000
Fe: 0.7500 0.2500 0.5000
Ni: 0.5000 0.5000 0.0000
Mo: 0.2500 0.7500 0.5000

Output
Spin magnetization in μB per formula unit: 2.9
Space-group type: No. 119
Energy of formation in eV/atom: 0.030

=====

(2)
A plane-wave DFT calculation with PBE was carried out for an optimized crystal structure of FeNiMo3.

Lattice parameters (Å, degrees): 4.4128 4.4128 4.4128 90.00 90.00 90.00
Fractional coordinates of all 5 atoms:
Fe: 0.0000 0.0000 0.0000
Ni: 0.5000 0.5000 0.5000
Mo: 0.0000 0.5000 0.5000
Mo: 0.5000 0.0000 0.5000
Mo: 0.5000 0.5000 0.0000

Output
Spin magnetization in μB per formula unit: 0.0
Space-group type: No. 221
Energy of formation in eV/atom: 1.682
Relative energy among the computed polymorphs in eV/atom: 0.4113

=====

(3)
A plane-wave DFT calculation with PBE was carried out for an optimized crystal structure of FeNi2Mo.

Lattice parameters (Å, degrees): 3.5295 3.5295 3.7989 90.00 90.00 90.00
Fractional coordinates of all 4 atoms:
Fe: 0.0000 0.0000 0.0000
Ni: 0.0000 0.5000 0.5000
Ni: 0.5000 0.0000 0.5000
Mo: 0.5000 0.5000 0.0000

Output
Spin magnetization in μB per formula unit: 0.0
Space-group type: No. 123
Energy of formation in eV/atom: 0.013
Relative energy among the computed polymorphs in eV/atom: 0.0218

=====

(4)
A plane-wave DFT calculation with PBE was carried out for an optimized crystal structure of Fe2NiMo.

Lattice parameters (Å, degrees): 4.5020 4.5020 4.5241 99.33 99.33 33.42
Fractional coordinates of all 4 atoms:
Fe: 0.2414 0.2414 0.2383
Fe: 0.7586 0.7586 0.7617
Ni: 0.5000 0.5000 0.0000
Mo: 0.0000 0.0000 0.5000

Output
Spin magnetization in μB per formula unit: 4.3
Space-group type: No. 12
Energy of formation in eV/atom: 0.101

=====

(5)
A plane-wave DFT calculation with PBE was carried out for an optimized crystal structure of FeNi2Mo.

Lattice parameters (Å, degrees): 4.4547 4.4547 4.5387 99.00 99.00 33.66
Fractional coordinates of all 4 atoms:
Fe: 0.0000 0.0000 0.0000
Ni: 0.4911 0.4911 0.4787
Ni: 0.7439 0.7439 0.2252
Mo: 0.2438 0.2438 0.7214

Output
Spin magnetization in μB per formula unit: 2.5
Space-group type: No. 8
Energy of formation in eV/atom: 0.048
Relative energy among the computed polymorphs in eV/atom: 0.0570

=====

(6)
A plane-wave DFT calculation with PBE was carried out for an optimized crystal structure of FeNiMoPd.

Lattice parameters (Å, degrees): 4.2300 4.2300 4.2300 60.00 60.00 60.00
Fractional coordinates of all 4 atoms:
Fe: 0.0000 0.0000 0.0000
Ni: 0.5000 0.5000 0.5000
Mo: 0.2500 0.2500 0.2500
Pd: 0.7500 0.7500 0.7500

Output
Spin magnetization in μB per formula unit: 2.1
Space-group type: No. 216
Energy of formation in eV/atom: 0.104